(1)
{
  "formula": "MgUP2",
  "functional": "GGA-PBE",
  "state": "relaxed",
  "rho_g_cm3": 7.60,
  "de_polymorph_ev_per_atom": 0.075,
  "e_tot_ev_per_atom": -6.577,
  "spacegroup": "P4/mmm",
  "cell": [[4.5112, 0.0000, 0.0000], [0.0000, 4.5112, 0.0000], [0.0000, 0.0000, 3.4821]],
  "species": ["Mg", "U", "P", "P"],
  "frac_coords": [[0.0000, 0.0000, 0.0000], [0.5000, 0.5000, 0.0000], [0.0000, 0.5000, 0.5000], [0.5000, 0.0000, 0.5000]]
}

(2)
{
  "formula": "Si2PbI",
  "functional": "GGA-PBE",
  "state": "relaxed",
  "rho_g_cm3": 4.84,
  "de_polymorph_ev_per_atom": 0.037,
  "e_tot_ev_per_atom": -3.206,
  "e_form_raw_mev_per_atom": 820,
  "spacegroup": "I-42d",
  "cell": [[-2.9493, 2.9493, 7.6955], [2.9493, -2.9493, 7.6955], [2.9493, 2.9493, -7.6955]],
  "species": ["Si", "Si", "Si", "Si", "Pb", "Pb", "I", "I"],
  "frac_coords": [[0.1106, 0.6250, 0.9856], [0.3750, 0.3606, 0.4856], [0.6394, 0.1250, 0.0144], [0.8750, 0.8894, 0.5144], [0.0000, 0.0000, 0.0000], [0.7500, 0.2500, 0.5000], [0.2500, 0.7500, 0.5000], [0.5000, 0.5000, 0.0000]]
}

(3)
{
  "formula": "Zr3C",
  "functional": "GGA-PBE",
  "state": "relaxed",
  "rho_g_cm3": 6.79,
  "de_polymorph_ev_per_atom": 1.131,
  "e_tot_ev_per_atom": -7.985,
  "spacegroup": "P6_3/mmc",
  "cell": [[5.8993, 0.0000, 0.0000], [-2.9496, 5.1089, 0.0000], [0.0000, 0.0000, 4.6346]],
  "species": ["Zr", "Zr", "Zr", "Zr", "Zr", "Zr", "C", "C"],
  "frac_coords": [[0.1748, 0.3497, 0.2500], [0.1748, 0.8252, 0.2500], [0.3497, 0.1748, 0.7500], [0.6503, 0.8252, 0.2500], [0.8252, 0.1748, 0.7500], [0.8252, 0.6503, 0.7500], [0.3333, 0.6667, 0.7500], [0.6667, 0.3333, 0.2500]]
}

Question: Number 3 is which compound?
Answer: Zr3C

Question: What is the formula in the second record?
Answer: Si2PbI